Entry 1:
# PBE Er3Th, relaxed
# E_form ... 0.030 eV/atom
# Volume ... 250.74 Å³ per cell
data_Er3Th
_chemical_formula_sum 'Er6 Th2'
_cell_length_a 3.590
_cell_length_b 11.323
_cell_length_c 6.168
_cell_angle_alpha 90.00
_cell_angle_beta 90.00
_cell_angle_gamma 90.00
_symmetry_space_group_name_H-M 'I m m 2'
_symmetry_Int_Tables_number 44
loop_
_symmetry_equiv_pos_as_xyz
'x,y,z'
'-x,-y,z'
'-x,y,z'
'x,-y,z'
'x+1/2,y+1/2,z+1/2'
'-x+1/2,-y+1/2,z+1/2'
'-x+1/2,y+1/2,z+1/2'
'x+1/2,-y+1/2,z+1/2'
loop_
_atom_site_label
_atom_site_type_symbol
_atom_site_fract_x
_atom_site_fract_y
_atom_site_fract_z
Er1 Er 0.000 0.000 0.000
Er2 Er 0.000 0.252 0.666
Th1 Th 0.000 0.500 0.017

---

Entry 2:
# PBE ErThTi, relaxed
# E_form ... 0.213 eV/atom
# Volume ... 80.16 Å³ per cell
data_ErThTi
_chemical_formula_sum 'Er1 Th1 Ti1'
_cell_length_a 5.2188
_cell_length_b 5.2188
_cell_length_c 3.3985
_cell_angle_alpha 90.00
_cell_angle_beta 90.00
_cell_angle_gamma 120.00
_symmetry_space_group_name_H-M 'P -6 m 2'
_symmetry_Int_Tables_number 187
_symmetry_space_group_name_Hall 'P -6 2'
loop_
_atom_site_label
_atom_site_type_symbol
_atom_site_fract_x
_atom_site_fract_y
_atom_site_fract_z
Er1 Er 0.0000 0.0000 0.0000
Th1 Th 0.3333 0.6667 0.5000
Ti1 Ti 0.6667 0.3333 0.0000

---

Entry 3:
# PBE ErTh2Ti, relaxed
# E_form ... 0.212 eV/atom
# Volume ... 443.44 Å³ per cell
data_ErTh2Ti
_chemical_formula_sum 'Er4 Th8 Ti4'
_cell_length_a 7.626
_cell_length_b 7.626
_cell_length_c 7.626
_cell_angle_alpha 90.00
_cell_angle_beta 90.00
_cell_angle_gamma 90.00
_symmetry_space_group_name_H-M 'F m -3 m'
_symmetry_Int_Tables_number 225
_symmetry_space_group_name_Hall '-F 4 2 3'
loop_
_atom_site_label
_atom_site_type_symbol
_atom_site_fract_x
_atom_site_fract_y
_atom_site_fract_z
Er1 Er 0.000 0.000 0.000
Th1 Th 0.250 0.250 0.250
Ti1 Ti 0.000 0.000 0.500

---

So what do the calculations give for calculated density? Going down the list: 9.7; 9.3; 10.2 g cm⁻³.
So what do the calculations give for offset from the most stable computed form? Going down the list: 0; 103; 84 meV/atom.